Material: ScPtW2O
Method: DFT, PBE with a Hubbard U
State: relaxed

Values from the calculation:
Its volume is 131.93 Å³ per cell. The space group is P4/mmm, No. 123. Its crystal system is tetragonal. The calculation puts the calculated total energy at -5.135 eV per atom.

a b c (Å): 5.0563 5.1602 5.0563
angles (deg): 90.00 90.00 90.00
Last column: magnetic moment on the atom in μB.
Fractional coordinates of all 5 atoms:
W  0.0000  0.0000  0.5000  2.58
W  0.5000  0.0000  0.0000  2.79
O  0.5000  0.5000  0.5000  0.67
Pt  0.0000  0.0000  0.0000  -0.05
Sc  0.0000  0.5000  0.0000  -0.20